# KZrPb

A relaxed KZrPb crystal (PBE, the Alexandria database).

Calculated values
Crystal system: trigonal
Relative energy among the computed polymorphs, kcal/mol of atoms: 1.303
Energy of formation from the pure elements, kcal/mol of atoms: 6.70

Cell lengths 3.394, 3.394, 9.092 Å; angles 90.00, 90.00, 120.00 degrees
Fractional coordinates of all 3 atoms:
K: 0.000 0.000 0.000
Zr: 0.333 0.667 0.621
Pb: 0.667 0.333 0.340

# Ce3Sm2HoBi6

A relaxed Ce3Sm2HoBi6 crystal (PBE, the Alexandria database).

Calculated values
Crystal system: monoclinic
Energy of formation from the pure elements, kcal/mol of atoms: -19.50

Cell lengths 7.909, 7.909, 7.905 Å; angles 99.60, 99.60, 120.00 degrees
Fractional coordinates of all 12 atoms:
Ce: 0.000 0.000 0.000
Ce: 0.332 0.668 0.000
Ce: 0.668 0.332 0.000
Sm: 0.166 0.834 0.500
Sm: 0.834 0.166 0.500
Ho: 0.500 0.500 0.500
Bi: 0.088 0.418 0.254
Bi: 0.253 0.253 0.748
Bi: 0.418 0.088 0.254
Bi: 0.582 0.912 0.746
Bi: 0.747 0.747 0.252
Bi: 0.912 0.582 0.746

# Os3PbO

A relaxed Os3PbO crystal (PBE, the Alexandria database).

Calculated values
Crystal system: cubic
Relative energy among the computed polymorphs, kcal/mol of atoms: 57.447
E_form (uncorrected), meV per atom: 3689

Cell lengths 5.073, 5.073, 5.073 Å; angles 90.00, 90.00, 90.00 degrees
Fractional coordinates of all 5 atoms:
Os: 0.000 0.000 0.500
Os: 0.000 0.500 0.000
Os: 0.500 0.000 0.000
Pb: 0.000 0.000 0.000
O: 0.500 0.500 0.500

# Ba2RhPb

A relaxed Ba2RhPb crystal (PBE, the Alexandria database).

Calculated values
Crystal system: trigonal
Energy of formation from the pure elements, kcal/mol of atoms: -1.84

Cell lengths 9.819, 9.819, 9.819 Å; angles 24.93, 24.93, 24.93 degrees
Fractional coordinates of all 4 atoms:
Ba: 0.233 0.233 0.233
Ba: 0.767 0.767 0.767
Rh: 0.500 0.500 0.500
Pb: 0.000 0.000 0.000

# SiPtPb2

A relaxed SiPtPb2 crystal (PBE, the Alexandria database).

Calculated values
Crystal system: tetragonal
E_form (uncorrected), meV per atom: 391

Cell lengths 7.574, 7.574, 7.574 Å; angles 130.19, 130.19, 73.10 degrees
Fractional coordinates of all 8 atoms:
Si: 0.000 0.000 0.000
Si: 0.750 0.250 0.500
Pt: 0.250 0.750 0.500
Pt: 0.500 0.500 0.000
Pb: 0.130 0.625 0.005
Pb: 0.375 0.380 0.505
Pb: 0.620 0.125 0.995
Pb: 0.875 0.870 0.495

# BeSb2SeI

A relaxed BeSb2SeI crystal (PBE, the Alexandria database).

Calculated values
Crystal system: tetragonal
Relative energy among the computed polymorphs, kcal/mol of atoms: 0.000
E_form (uncorrected), meV per atom: 487

Cell lengths 5.124, 5.124, 4.820 Å; angles 90.00, 90.00, 90.00 degrees
Fractional coordinates of all 5 atoms:
Be: 0.000 0.000 0.000
Sb: 0.000 0.500 0.000
Sb: 0.500 0.000 0.000
Se: 0.500 0.500 0.500
I: 0.000 0.000 0.500

# Tb2Ge4IrPd3

A relaxed Tb2Ge4IrPd3 crystal (PBE, the Alexandria database).

Calculated values
Crystal system: tetragonal
Energy of formation from the pure elements, kcal/mol of atoms: -17.64

Cell lengths 4.130, 4.130, 10.830 Å; angles 90.00, 90.00, 90.00 degrees
Fractional coordinates of all 10 atoms:
Tb: 0.000 0.500 0.244
Tb: 0.500 0.000 0.756
Ge: 0.000 0.000 0.500
Ge: 0.000 0.500 0.866
Ge: 0.500 0.000 0.134
Ge: 0.500 0.500 0.500
Ir: 0.500 0.500 0.000
Pd: 0.000 0.000 0.000
Pd: 0.000 0.500 0.642
Pd: 0.500 0.000 0.358

# NdScTeO2

A relaxed NdScTeO2 crystal (PBE, the Alexandria database).

Calculated values
Crystal system: monoclinic
E_form (uncorrected), meV per atom: -2813

Cell lengths 6.840, 4.095, 7.656 Å; angles 90.00, 109.38, 90.00 degrees
Fractional coordinates of all 10 atoms:
Nd: 0.186 0.250 0.431
Nd: 0.814 0.750 0.569
Sc: 0.137 0.250 0.918
Sc: 0.863 0.750 0.082
Te: 0.462 0.750 0.763
Te: 0.538 0.250 0.237
O: 0.014 0.750 0.363
O: 0.024 0.750 0.897
O: 0.976 0.250 0.103
O: 0.986 0.250 0.637

> Which formula does entry 7 have?

Tb2Ge4IrPd3